No. 1
# Sr3ScAs PBE optimized geometry
# - Magnetic moment: 0.78 μB/atom
# - Uncorrected energy: -2.474 eV per atom
# - Relative energy among the computed polymorphs: 871.8 meV per atom
data_Sr3ScAs
_cell_length_a 6.068
_cell_length_b 6.068
_cell_length_c 6.068
_cell_angle_alpha 90.00
_cell_angle_beta 90.00
_cell_angle_gamma 90.00
_symmetry_space_group_name_H-M 'P m -3 m'
_symmetry_Int_Tables_number 221
_symmetry_space_group_name_Hall '-P 4 2 3'
loop_
_atom_site_label
_atom_site_fract_x
_atom_site_fract_y
_atom_site_fract_z
_atom_site_occupancy
Sr1 0.000 0.000 0.500 1
Sc1 0.000 0.000 0.000 1
As1 0.500 0.500 0.500 1



No. 2
# SrSc2As PBE optimized geometry
# - Magnetic moment: 0.31 μB/atom
# - Uncorrected energy: -5.103 eV per atom
data_SrSc2As
_cell_length_a 6.145
_cell_length_b 3.752
_cell_length_c 6.191
_cell_angle_alpha 90.00
_cell_angle_beta 119.68
_cell_angle_gamma 90.00
_symmetry_space_group_name_H-M 'P 1 2/m 1'
_symmetry_Int_Tables_number 10
_symmetry_space_group_name_Hall '-P 2y'
loop_
_atom_site_label
_atom_site_fract_x
_atom_site_fract_y
_atom_site_fract_z
_atom_site_occupancy
Sr1 0.000 0.000 0.000 1
Sc1 0.326 0.500 0.653 1
As1 0.500 0.000 0.000 1



No. 3
# SrSc2As PBE optimized geometry
# - Magnetic moment: 0.08 μB/atom
# - Uncorrected energy: -5.162 eV per atom
data_SrSc2As
_cell_length_a 11.684
_cell_length_b 3.669
_cell_length_c 6.380
_cell_angle_alpha 90.00
_cell_angle_beta 122.58
_cell_angle_gamma 90.00
_symmetry_space_group_name_H-M 'C 1 m 1'
_symmetry_Int_Tables_number 8
_symmetry_space_group_name_Hall 'C -2y'
loop_
_atom_site_label
_atom_site_fract_x
_atom_site_fract_y
_atom_site_fract_z
_atom_site_occupancy
Sr1 0.000 0.000 0.000 1
Sc1 0.126 0.500 0.633 1
Sc2 0.332 0.500 0.328 1
As1 0.267 0.000 0.550 1



No. 4
# SrSc2As PBE optimized geometry
# - Magnetic moment: 0.00 μB/atom
# - Uncorrected energy: -4.456 eV per atom
data_SrSc2As
_cell_length_a 3.4507
_cell_length_b 3.4507
_cell_length_c 34.1313
_cell_angle_alpha 90.00
_cell_angle_beta 90.00
_cell_angle_gamma 120.00
_symmetry_space_group_name_H-M 'R -3 m'
_symmetry_Int_Tables_number 166
_symmetry_space_group_name_Hall '-R 3 2"'
loop_
_atom_site_label
_atom_site_fract_x
_atom_site_fract_y
_atom_site_fract_z
_atom_site_occupancy
Sr1 0.0000 0.0000 0.0000 1
Sc1 0.0000 0.0000 0.4232 1
As1 0.0000 0.0000 0.5000 1



Which of these has the highest uncorrected energy?
Sr3ScAs



Copy entry 3 word for word.
# SrSc2As PBE optimized geometry
# - Magnetic moment: 0.08 μB/atom
# - Uncorrected energy: -5.162 eV per atom
data_SrSc2As
_cell_length_a 11.684
_cell_length_b 3.669
_cell_length_c 6.380
_cell_angle_alpha 90.00
_cell_angle_beta 122.58
_cell_angle_gamma 90.00
_symmetry_space_group_name_H-M 'C 1 m 1'
_symmetry_Int_Tables_number 8
_symmetry_space_group_name_Hall 'C -2y'
loop_
_atom_site_label
_atom_site_fract_x
_atom_site_fract_y
_atom_site_fract_z
_atom_site_occupancy
Sr1 0.000 0.000 0.000 1
Sc1 0.126 0.500 0.633 1
Sc2 0.332 0.500 0.328 1
As1 0.267 0.000 0.550 1



Which of these has the highest magnetic moment?
Sr3ScAs



Which of these has the highest magnetic moment?
Sr3ScAs